1.
Entry from Alexandria: Ta6NbOs after structural relaxation (PBE-GGA).

Properties
Its final energy is -11.4661 eV per atom. As for the energy relative to the elements: 0.09 eV per atom.

Lattice parameters (Å, degrees): 9.5382 9.5382 5.5285 90.00 90.00 120.00
Space group R-3m (No. 166, hexagonal axes)
Symmetry-distinct sites (fractional):
Ta (0.0045, 0.5023, 0.2514) (multiplicity 18)
Nb (0.0000, 0.0000, 0.0000) (multiplicity 3)
Os (0.0000, 0.0000, 0.5000) (multiplicity 3)

2.
Entry from Alexandria: Ce3B2Ir2N3 after structural relaxation (PBE-GGA).

Properties
Its uncorrected formation energy is -1.181 eV/atom. Its final energy is -8.5661 eV per atom.

Lattice parameters (Å, degrees): 3.7853 3.7853 19.9425 90.00 90.00 90.00
Space group I4/mmm (No. 139)
Symmetry-distinct sites (fractional):
Ce (0.0000, 0.0000, 0.0000) (multiplicity 2)
Ce (0.0000, 0.0000, 0.3759) (multiplicity 4)
B (0.0000, 0.0000, 0.1929) (multiplicity 4)
Ir (0.0000, 0.5000, 0.2500) (multiplicity 4)
N (0.0000, 0.0000, 0.1179) (multiplicity 4)
N (0.0000, 0.0000, 0.5000) (multiplicity 2)

3.
Entry from Alexandria: Sr2AlW after structural relaxation (PBE-GGA).

Properties
Its final energy is -3.8081 eV per atom. As for the energy relative to the elements: 1.21 eV per atom.

Lattice parameters (Å, degrees): 8.6682 8.6682 5.9744 90.00 90.00 90.00
Space group I-42d (No. 122)
Symmetry-distinct sites (fractional):
Sr (0.2446, 0.2500, 0.1250) (multiplicity 8)
Al (0.0000, 0.0000, 0.5000) (multiplicity 4)
W (0.0000, 0.0000, 0.0000) (multiplicity 4)

4.
Entry from Alexandria: TlPdPt2Se after structural relaxation (PBE-GGA).

Properties
Its uncorrected formation energy is 0.270 eV/atom. Its final energy is -4.3547 eV per atom.

Lattice parameters (Å, degrees): 4.7754 4.7754 4.8142 90.00 90.00 90.00
Space group P4/mmm (No. 123)
Symmetry-distinct sites (fractional):
Tl (0.0000, 0.0000, 0.0000) (multiplicity 1)
Pd (0.5000, 0.5000, 0.0000) (multiplicity 1)
Pt (0.0000, 0.5000, 0.5000) (multiplicity 2)
Se (0.5000, 0.5000, 0.5000) (multiplicity 1)

5.
Entry from Alexandria: Dy2Y8Ho after structural relaxation (PBE-GGA).

Properties
Its final energy is -5.7924 eV per atom. As for the energy relative to the elements: 0.16 eV per atom.

Lattice parameters (Å, degrees): 9.0330 16.1719 5.8797 90.00 123.37 90.00
Space group C2/m (No. 12)
Symmetry-distinct sites (fractional):
Dy (0.0000, 0.1922, 0.0000) (multiplicity 4)
Y (0.0000, 0.2940, 0.5000) (multiplicity 4)
Y (0.0732, 0.0000, 0.2941) (multiplicity 4)
Y (0.2163, 0.3822, 0.1756) (multiplicity 8)
Ho (0.0000, 0.5000, 0.5000) (multiplicity 2)